Arrangement w

Compound: Lu2TiSn
Source: Alexandria via LeMat-Bulk
Functional: PBE
Structure: relaxed

POSCAR file:
```
Lu2TiSn
1.0
4.667 0.000 0.000
0.000 4.667 0.000
0.000 0.000 4.376
Lu Ti Sn
2 1 1
Direct
0.000 0.500 0.000
0.500 0.000 0.000
0.000 0.000 0.500
0.500 0.500 0.500
```

Output
Calculated volume in Å³ per atom: 23.822
SG: P4/mmm, No. 123

***

Arrangement x

Compound: Lu2TiSn
Source: Alexandria via LeMat-Bulk
Functional: PBE
Structure: relaxed

POSCAR file:
```
Lu2TiSn
1.0
3.365 0.000 0.000
-1.683 2.914 0.000
0.000 0.000 30.125
Lu Ti Sn
6 3 3
Direct
0.000 0.000 0.247
0.000 0.000 0.753
0.333 0.667 0.419
0.333 0.667 0.914
0.667 0.333 0.086
0.667 0.333 0.581
0.000 0.000 0.500
0.333 0.667 0.167
0.667 0.333 0.833
0.000 0.000 0.000
0.333 0.667 0.667
0.667 0.333 0.333
```

Output
Calculated volume in Å³ per atom: 24.622
SG: R-3m, No. 166

***

arrangement w (162 meV per atom below the next structure)

***

Arrangement w

Compound: LuTiSn2
Source: Alexandria via LeMat-Bulk
Functional: PBE
Structure: relaxed

POSCAR file:
```
LuTiSn2
1.0
4.547 0.000 0.000
0.000 4.547 0.000
0.000 0.000 4.313
Lu Ti Sn
1 1 2
Direct
0.000 0.000 0.000
0.500 0.500 0.000
0.000 0.500 0.500
0.500 0.000 0.500
```

Output
Calculated volume in Å³ per atom: 22.295
SG: P4/mmm, No. 123

***

Arrangement x

Compound: LuTiSn2
Source: Alexandria via LeMat-Bulk
Functional: PBE
Structure: relaxed

POSCAR file:
```
LuTiSn2
1.0
3.738 0.000 0.000
0.000 3.738 0.000
0.000 0.000 6.512
Lu Ti Sn
1 1 2
Direct
0.000 0.000 0.000
0.000 0.000 0.500
0.500 0.500 0.276
0.500 0.500 0.724
```

Output
Calculated volume in Å³ per atom: 22.752
SG: P4/mmm, No. 123

***

arrangement w (11 meV per atom below the next structure)

***

Arrangement w

Compound: LuTl2Sn
Source: Alexandria via LeMat-Bulk
Functional: PBE
Structure: relaxed

POSCAR file:
```
LuTl2Sn
1.0
4.621 0.000 0.000
0.000 4.621 0.000
0.000 0.000 4.983
Lu Tl Sn
1 2 1
Direct
0.000 0.000 0.000
0.000 0.500 0.500
0.500 0.000 0.500
0.500 0.500 0.000
```

Output
Calculated volume in Å³ per atom: 26.600
SG: P4/mmm, No. 123

***

Arrangement x

Compound: LuTl2Sn
Source: Alexandria via LeMat-Bulk
Functional: PBE
Structure: relaxed

POSCAR file:
```
LuTl2Sn
1.0
3.511 0.000 0.000
-1.755 3.041 0.000
0.000 0.000 34.227
Lu Tl Sn
3 6 3
Direct
0.000 0.000 0.000
0.333 0.667 0.667
0.667 0.333 0.333
0.000 0.000 0.090
0.000 0.000 0.910
0.333 0.667 0.577
0.333 0.667 0.756
0.667 0.333 0.244
0.667 0.333 0.423
0.000 0.000 0.500
0.333 0.667 0.167
0.667 0.333 0.833
```

Output
Calculated volume in Å³ per atom: 30.449
SG: R-3m, No. 166

***

arrangement w (326 meV per atom below the next structure)

***

Arrangement w

Compound: Tm2LuSn
Source: Alexandria via LeMat-Bulk
Functional: PBE
Structure: relaxed

POSCAR file:
```
Tm2LuSn
1.0
4.736 0.000 0.000
0.000 4.736 0.000
0.000 0.000 4.743
Tm Lu Sn
2 1 1
Direct
0.000 0.500 0.000
0.500 0.000 0.000
0.000 0.000 0.500
0.500 0.500 0.500
```

Output
Calculated volume in Å³ per atom: 26.601
SG: P4/mmm, No. 123

***

Arrangement x

Compound: Tm2LuSn
Source: Alexandria via LeMat-Bulk
Functional: PBE
Structure: relaxed

POSCAR file:
```
Tm2LuSn
1.0
3.426 0.000 0.000
-1.713 2.967 0.000
0.000 0.000 34.843
Tm Lu Sn
6 3 3
Direct
0.000 0.000 0.094
0.000 0.000 0.906
0.333 0.667 0.572
0.333 0.667 0.761
0.667 0.333 0.239
0.667 0.333 0.428
0.000 0.000 0.000
0.333 0.667 0.667
0.667 0.333 0.333
0.000 0.000 0.500
0.333 0.667 0.167
0.667 0.333 0.833
```

Output
Calculated volume in Å³ per atom: 29.512
SG: R-3m, No. 166

***

arrangement w (427 meV per atom below the next structure)

***

Arrangement w

Compound: TmLuSn2
Source: Alexandria via LeMat-Bulk
Functional: PBE
Structure: relaxed

POSCAR file:
```
TmLuSn2
1.0
3.735 0.000 0.000
-1.867 3.234 0.000
0.000 0.000 27.027
Tm Lu Sn
3 3 6
Direct
0.000 0.000 0.000
0.333 0.667 0.667
0.667 0.333 0.333
0.000 0.000 0.500
0.333 0.667 0.167
0.667 0.333 0.833
0.000 0.000 0.250
0.000 0.000 0.750
0.333 0.667 0.417
0.333 0.667 0.916
0.667 0.333 0.084
0.667 0.333 0.583
```

Output
Calculated volume in Å³ per atom: 27.206
SG: R-3m, No. 166

***

Arrangement x

Compound: TmLuSn2
Source: Alexandria via LeMat-Bulk
Functional: PBE
Structure: relaxed

POSCAR file:
```
TmLuSn2
1.0
3.443 0.000 0.000
0.000 3.443 0.000
0.000 0.000 8.637
Tm Lu Sn
1 1 2
Direct
0.000 0.000 0.000
0.000 0.000 0.500
0.500 0.500 0.251
0.500 0.500 0.749
```

Output
Calculated volume in Å³ per atom: 25.589
SG: P4/mmm, No. 123

***

Arrangement y

Compound: TmLuSn2
Source: Alexandria via LeMat-Bulk
Functional: PBE
Structure: relaxed

POSCAR file:
```
TmLuSn2
1.0
4.888 0.000 0.000
0.000 4.888 0.000
0.000 0.000 4.293
Tm Lu Sn
1 1 2
Direct
0.000 0.000 0.000
0.500 0.500 0.000
0.000 0.500 0.500
0.500 0.000 0.500
```

Output
Calculated volume in Å³ per atom: 25.642
SG: P4/mmm, No. 123

***

Arrangement z

Compound: TmLuSn2
Source: Alexandria via LeMat-Bulk
Functional: PBE
Structure: relaxed

POSCAR file:
```
TmLuSn2
1.0
7.476 0.000 0.000
0.000 7.476 0.000
0.000 0.000 7.476
Tm Lu Sn
4 4 8
Direct
0.000 0.000 0.000
0.000 0.500 0.500
0.500 0.000 0.500
0.500 0.500 0.000
0.000 0.000 0.500
0.000 0.500 0.000
0.500 0.000 0.000
0.500 0.500 0.500
0.250 0.250 0.250
0.250 0.250 0.750
0.250 0.750 0.250
0.250 0.750 0.750
0.750 0.250 0.250
0.750 0.250 0.750
0.750 0.750 0.250
0.750 0.750 0.750
```

Output
Calculated volume in Å³ per atom: 26.118
SG: Fm-3m, No. 225

***

arrangement x (12 meV per atom below the next structure)

***

Arrangement w

Compound: TmLu2Sn
Source: Alexandria via LeMat-Bulk
Functional: PBE
Structure: relaxed

POSCAR file:
```
TmLu2Sn
1.0
3.418 0.000 0.000
-1.709 2.960 0.000
0.000 0.000 34.800
Tm Lu Sn
3 6 3
Direct
0.000 0.000 0.000
0.333 0.667 0.667
0.667 0.333 0.333
0.000 0.000 0.095
0.000 0.000 0.905
0.333 0.667 0.572
0.333 0.667 0.761
0.667 0.333 0.239
0.667 0.333 0.428
0.000 0.000 0.500
0.333 0.667 0.167
0.667 0.333 0.833
```

Output
Calculated volume in Å³ per atom: 29.340
SG: R-3m, No. 166

***

Arrangement x

Compound: TmLu2Sn
Source: Alexandria via LeMat-Bulk
Functional: PBE
Structure: relaxed

POSCAR file:
```
TmLu2Sn
1.0
4.730 0.000 0.000
0.000 4.730 0.000
0.000 0.000 4.728
Tm Lu Sn
1 2 1
Direct
0.000 0.000 0.000
0.000 0.500 0.500
0.500 0.000 0.500
0.500 0.500 0.000
```

Output
Calculated volume in Å³ per atom: 26.440
SG: P4/mmm, No. 123

***

Arrangement y

Compound: TmLu2Sn
Source: Alexandria via LeMat-Bulk
Functional: PBE
Structure: relaxed

POSCAR file:
```
TmLu2Sn
1.0
3.539 0.000 0.000
0.000 3.539 0.000
0.000 0.000 8.890
Tm Lu Sn
1 2 1
Direct
0.000 0.000 0.000
0.500 0.500 0.268
0.500 0.500 0.732
0.000 0.000 0.500
```

Output
Calculated volume in Å³ per atom: 27.842
SG: P4/mmm, No. 123

***

arrangement x (81 meV per atom below the next structure)